DFT (GGA-PBE) results for crystalline La2Tb8Pr at its relaxed geometry.

a b c (Å): 5.606 8.237 9.478
angles (deg): 115.75 107.20 90.00
Atoms (fractional coordinates):
La 0.201 0.700 0.401
La 0.799 0.300 0.599
Tb 0.636 0.842 0.273
Tb 0.364 0.570 0.727
Tb 0.160 0.160 0.319
Tb 0.000 0.294 0.000
Tb 0.840 0.840 0.681
Tb 0.636 0.430 0.273
Tb 0.364 0.158 0.727
Tb 0.000 0.706 0.000
Pr 0.500 0.000 0.000

raw total energy: -50.40 eV/cell
total magnetic moment: 0.00 μB per atom
E_form: 0.1157 eV/atom
space group: Immm, No. 71

DFT (GGA-PBE) results for crystalline Pm3YIn3 at its relaxed geometry.

a b c (Å): 9.488 9.488 9.488
angles (deg): 90.00 90.00 90.00
Atoms (fractional coordinates):
Pm 0.828 0.328 0.172
Pm 0.930 0.930 0.930
Pm 0.824 0.676 0.324
Pm 0.172 0.828 0.328
Pm 0.176 0.176 0.176
Pm 0.324 0.824 0.676
Pm 0.070 0.430 0.570
Pm 0.328 0.172 0.828
Pm 0.676 0.324 0.824
Pm 0.672 0.672 0.672
Pm 0.570 0.070 0.430
Pm 0.430 0.570 0.070
Y 0.075 0.575 0.925
Y 0.925 0.075 0.575
Y 0.425 0.425 0.425
Y 0.575 0.925 0.075
In 0.754 0.631 0.998
In 0.869 0.002 0.254
In 0.998 0.754 0.631
In 0.131 0.502 0.246
In 0.246 0.131 0.502
In 0.254 0.869 0.002
In 0.002 0.254 0.869
In 0.369 0.498 0.746
In 0.502 0.246 0.131
In 0.631 0.998 0.754
In 0.746 0.369 0.498
In 0.498 0.746 0.369

raw total energy: -125.34 eV/cell
total magnetic moment: 0.00 μB per atom
E_form: -0.3433 eV/atom
space group: P2_13, No. 198